Record 1
This record from Alexandria describes a relaxed structure of TaCo3Cu. The functional is PBE-GGA.

Cell: 4.531 6.331 6.331 Å, 135.30 90.00 90.00°
Site moments in Bohr magnetons follow the coordinates.
Sites, in units of the cell vectors:
Ta (0.750, 0.593, 0.407)  -0.15
Co (0.250, 0.819, 0.181)  1.26
Co (0.250, 0.403, 0.088)  1.28
Cu (0.500, 0.000, 0.000)  0.03
Co (0.750, 0.597, 0.912)  1.28
Co (0.750, 0.088, 0.403)  1.28
Co (0.250, 0.912, 0.597)  1.28
Cu (0.000, 0.000, 0.000)  0.03
Co (0.750, 0.181, 0.819)  1.26
Ta (0.250, 0.407, 0.593)  -0.15

Calculated values
Energy above the lowest structure with this stoichiometry = 0 meV/atom
E_tot = -7.286 eV/atom
Formation energy from the elements = 0.8 eV per formula unit
N(E_F) = 1.181 states/eV per atom
Size of the total moment = 7.195 Bohr magnetons per cell

---

Record 2
This record from Alexandria describes a relaxed structure of TaCoCu. The functional is PBE-GGA.

Cell: 4.102 4.102 4.102 Å, 60.00 60.00 60.00°
Sites, in units of the cell vectors:
Ta (0.750, 0.750, 0.750)
Co (0.000, 0.000, 0.000)
Cu (0.500, 0.500, 0.500)

Calculated values
Energy above the lowest structure with this stoichiometry = 733 meV/atom
E_tot = -7.019 eV/atom
Formation energy from the elements = 2.0 eV per formula unit
N(E_F) = 1.130 states/eV per atom
Size of the total moment = 0.000 Bohr magnetons per cell